{
  "formula": "YMgCu",
  "functional": "PBE",
  "state": "optimized geometry",
  "formation_energy_ev_per_fu": -0.66,
  "e_above_lowest_polymorph_mev_per_atom": 0,
  "cell": [[-0.1471, 7.2267, 2.2504], [-5.3213, -2.6072, -4.7115], [-2.2178, -0.9969, 3.0565]],
  "species": ["Mg", "Mg", "Mg", "Y", "Y", "Y", "Cu", "Cu", "Cu"],
  "fractional_positions": [[0.0000, 0.7558, 0.0000], [0.7558, 0.0000, 0.0000], [0.2442, 0.2442, 0.0000], [0.0000, 0.4139, 0.5000], [0.4139, 0.0000, 0.5000], [0.5861, 0.5861, 0.5000], [0.6667, 0.3333, 0.0000], [0.3333, 0.6667, 0.0000], [0.0000, 0.0000, 0.5000]]
}

***

{
  "formula": "Rb4ClOF",
  "functional": "PBE",
  "state": "optimized geometry",
  "formation_energy_uncorrected_ev_per_atom": -1.603,
  "cell": [[5.4382, 0.0000, 0.0000], [0.0000, 5.4382, 0.0000], [-2.7191, -2.7191, 7.9611]],
  "species": ["Rb", "Rb", "Rb", "Rb", "O", "F", "Cl"],
  "fractional_positions": [[0.8247, 0.8247, 0.6494], [0.0031, 0.5031, 0.0063], [0.1625, 0.1625, 0.3249], [0.5031, 0.0031, 0.0063], [0.9973, 0.9973, 0.9946], [0.6470, 0.6470, 0.2940], [0.3623, 0.3623, 0.7245]]
}

***

{
  "formula": "Tb5CeNd3",
  "functional": "PBE",
  "state": "optimized geometry",
  "formation_energy_ev_per_fu": 3.71,
  "cell": [[-6.9396, 5.4083, 3.0530], [-2.0667, 1.9582, 8.8670], [1.3926, 10.7535, 5.2142]],
  "species": ["Tb", "Tb", "Tb", "Tb", "Tb", "Tb", "Tb", "Tb", "Tb", "Tb", "Nd", "Nd", "Nd", "Nd", "Nd", "Nd", "Ce", "Ce"],
  "fractional_positions": [[0.6473, 0.6473, 0.0440], [0.5511, 0.5511, 0.5866], [0.3527, 0.3527, 0.9560], [0.4867, 0.0947, 0.7686], [0.6818, 0.3182, 0.0000], [0.5133, 0.9053, 0.2314], [0.9053, 0.5133, 0.2314], [0.4489, 0.4489, 0.4134], [0.0947, 0.4867, 0.7686], [0.3182, 0.6818, 0.0000], [0.0000, 0.0000, 0.0000], [0.0000, 0.0000, 0.5000], [0.1577, 0.1577, 0.6407], [0.8423, 0.8423, 0.3593], [0.3059, 0.3059, 0.2975], [0.6941, 0.6941, 0.7025], [0.1072, 0.1072, 0.1249], [0.8928, 0.8928, 0.8751]]
}

***

{
  "formula": "MgCr2BI",
  "functional": "PBE",
  "state": "optimized geometry",
  "formation_energy_uncorrected_ev_per_atom": 2.034,
  "e_above_lowest_polymorph_mev_per_atom": 0,
  "cell": [[5.0824, 0.0000, 0.0000], [0.0000, 5.5181, 0.0000], [0.0000, 0.0000, 5.0824]],
  "species": ["Mg", "Cr", "Cr", "B", "I"],
  "fractional_positions": [[0.0000, 0.5000, 0.0000], [0.0000, 0.0000, 0.5000], [0.5000, 0.0000, 0.0000], [0.5000, 0.5000, 0.5000], [0.0000, 0.0000, 0.0000]]
}

***

{
  "formula": "ReNiAu2",
  "functional": "PBE",
  "state": "optimized geometry",
  "formation_energy_ev_per_fu": 3.79,
  "e_above_lowest_polymorph_mev_per_atom": 776,
  "cell": [[-1.1832, -6.1807, -3.4339], [-2.5528, -2.8734, 6.0514], [-4.3002, -3.7076, 0.6718]],
  "species": ["Au", "Au", "Au", "Au", "Re", "Re", "Ni", "Ni"],
  "fractional_positions": [[0.3750, 0.3919, 0.7500], [0.1419, 0.6250, 0.2500], [0.6081, 0.1250, 0.2500], [0.8750, 0.8581, 0.7500], [0.0000, 0.0000, 0.0000], [0.7500, 0.2500, 0.5000], [0.5000, 0.5000, 0.0000], [0.2500, 0.7500, 0.5000]]
}

***

{
  "formula": "PrIn2Cu9",
  "functional": "PBE",
  "state": "optimized geometry",
  "formation_energy_ev_per_fu": -1.51,
  "e_above_lowest_polymorph_mev_per_atom": 9,
  "cell": [[-0.7476, 4.9263, 1.0482], [-4.2776, 2.3058, -1.5205], [-5.2934, 0.3580, 6.9090]],
  "species": ["Cu", "Cu", "Cu", "Cu", "Cu", "Cu", "Cu", "Cu", "Cu", "Pr", "In", "In"],
  "fractional_positions": [[0.0811, 0.5861, 0.7467], [0.5000, 0.5000, 0.5000], [0.9189, 0.4139, 0.2533], [0.5861, 0.5861, 0.7467], [0.6664, 0.6664, 0.0007], [0.3336, 0.3336, 0.9993], [0.4139, 0.4139, 0.2533], [0.4139, 0.9189, 0.2533], [0.5861, 0.0811, 0.7467], [0.0000, 0.0000, 0.0000], [0.8588, 0.8588, 0.4237], [0.1412, 0.1412, 0.5763]]
}

***

{
  "formula": "Mg8Cu2Hg",
  "functional": "PBE",
  "state": "optimized geometry",
  "formation_energy_ev_per_fu": -0.77,
  "cell": [[4.2566, 0.0000, -1.2955], [-1.0926, 6.3211, -3.5901], [0.0868, 0.2422, 7.9262]],
  "species": ["Cu", "Cu", "Mg", "Mg", "Mg", "Mg", "Mg", "Mg", "Mg", "Mg", "Hg"],
  "fractional_positions": [[0.8134, 0.3134, 0.6267], [0.1866, 0.6866, 0.3733], [0.0000, 0.6940, 0.0000], [0.3378, 0.1214, 0.6756], [0.3378, 0.5542, 0.6756], [0.8456, 0.8456, 0.6911], [0.6622, 0.8786, 0.3244], [0.0000, 0.3060, 0.0000], [0.1544, 0.1544, 0.3089], [0.6622, 0.4458, 0.3244], [0.5000, 0.0000, 0.0000]]
}

***

{
  "formula": "RbTi2Fe2",
  "functional": "PBE",
  "state": "optimized geometry",
  "formation_energy_ev_per_fu": 2.97,
  "cell": [[7.9287, 0.0000, 0.0000], [0.0000, 7.9287, 0.0000], [0.0000, 0.0000, 2.9403]],
  "species": ["Ti", "Ti", "Ti", "Ti", "Rb", "Rb", "Fe", "Fe", "Fe", "Fe"],
  "fractional_positions": [[0.8772, 0.6228, 0.0000], [0.1228, 0.3772, 0.0000], [0.3772, 0.8772, 0.0000], [0.6228, 0.1228, 0.0000], [0.5000, 0.5000, 0.0000], [0.0000, 0.0000, 0.0000], [0.3758, 0.1242, 0.5000], [0.8758, 0.3758, 0.5000], [0.1242, 0.6242, 0.5000], [0.6242, 0.8758, 0.5000]]
}

***

{
  "formula": "V3Ni3Pt2",
  "functional": "PBE",
  "state": "optimized geometry",
  "formation_energy_ev_per_fu": -2.41,
  "cell": [[-2.6022, -0.2054, 2.7615], [2.5393, -1.6291, 2.2718], [2.0530, 7.3997, -0.1296]],
  "species": ["Pt", "Pt", "Ni", "Ni", "Ni", "V", "V", "V"],
  "fractional_positions": [[0.7502, 0.7502, 0.5004], [0.2498, 0.2498, 0.4996], [0.1157, 0.6156, 0.2314], [0.0000, 0.0000, 0.0000], [0.8843, 0.3844, 0.7686], [0.3805, 0.8803, 0.7609], [0.6195, 0.1197, 0.2391], [0.5000, 0.5000, 0.0000]]
}

***

{
  "formula": "Ag5I4Cl",
  "functional": "PBE",
  "state": "optimized geometry",
  "formation_energy_uncorrected_ev_per_atom": -0.286,
  "cell": [[-2.4193, -2.9403, 2.6001], [-3.3777, -2.5064, -1.8890], [10.3468, -15.3980, -3.6973]],
  "species": ["Ag", "Ag", "Ag", "Ag", "Ag", "I", "I", "I", "I", "Cl"],
  "fractional_positions": [[0.2023, 0.2023, 0.3932], [0.3975, 0.3975, 0.8076], [0.6043, 0.6043, 0.1870], [0.7999, 0.7999, 0.6004], [0.9960, 0.9960, 0.0120], [0.3467, 0.3467, 0.9599], [0.7491, 0.7491, 0.7528], [0.1515, 0.1515, 0.5456], [0.5538, 0.5538, 0.3387], [0.9491, 0.9491, 0.1527]]
}

***

{
  "formula": "RbSeBr3",
  "functional": "PBE",
  "state": "optimized geometry",
  "formation_energy_uncorrected_ev_per_atom": -0.617,
  "cell": [[4.5400, -2.6211, 0.0000], [0.0000, 5.2423, 0.0000], [0.0000, 0.0000, 16.7080]],
  "species": ["Br", "Br", "Br", "Br", "Br", "Br", "Rb", "Rb", "Se", "Se"],
  "fractional_positions": [[0.0000, 0.0000, 0.2500], [0.3333, 0.6667, 0.9040], [0.0000, 0.0000, 0.7500], [0.3333, 0.6667, 0.5960], [0.6667, 0.3333, 0.0960], [0.6667, 0.3333, 0.4040], [0.0000, 0.0000, 0.0000], [0.0000, 0.0000, 0.5000], [0.6667, 0.3333, 0.2500], [0.3333, 0.6667, 0.7500]]
}

***

{
  "formula": "Pr8Bi4Te3As",
  "functional": "PBE",
  "state": "optimized geometry",
  "formation_energy_uncorrected_ev_per_atom": -1.222,
  "cell": [[-6.0258, 0.2901, -6.8654], [-6.1994, -4.1090, 5.2677], [4.0630, 7.6773, 2.8417]],
  "species": ["Bi", "Bi", "Bi", "Bi", "Pr", "Pr", "Pr", "Pr", "Pr", "Pr", "Pr", "Pr", "Te", "Te", "Te", "As"],
  "fractional_positions": [[0.5000, 0.0000, 0.5000], [0.5000, 0.0000, 0.0000], [0.0000, 0.0000, 0.0000], [0.0000, 0.0000, 0.5000], [0.2409, 0.7418, 0.0009], [0.2400, 0.2582, 0.9991], [0.7506, 0.7518, 0.5012], [0.7591, 0.2582, 0.9991], [0.2410, 0.7420, 0.4821], [0.7600, 0.7418, 0.0009], [0.2494, 0.2482, 0.4988], [0.7590, 0.2580, 0.5179], [0.5000, 0.5000, 0.0000], [0.5000, 0.5000, 0.5000], [0.0000, 0.5000, 0.5000], [0.0000, 0.5000, 0.0000]]
}

***

{
  "formula": "Pr6P3Se2I",
  "functional": "PBE",
  "state": "optimized geometry",
  "formation_energy_uncorrected_ev_per_atom": -1.618,
  "cell": [[4.2254, 0.0000, 0.0000], [0.0000, 8.7207, 0.1466], [-2.1127, -2.6847, 9.0534]],
  "species": ["Se", "Se", "P", "P", "P", "Pr", "Pr", "Pr", "Pr", "Pr", "Pr", "I"],
  "fractional_positions": [[0.8342, 0.6695, 0.6683], [0.1658, 0.3305, 0.3317], [0.1642, 0.8322, 0.3284], [0.8358, 0.1678, 0.6716], [0.5000, 0.5000, 0.0000], [0.3206, 0.9249, 0.6413], [0.0047, 0.7174, 0.0093], [0.6794, 0.0751, 0.3587], [0.6627, 0.5951, 0.3254], [0.3373, 0.4049, 0.6746], [0.9953, 0.2826, 0.9907], [0.5000, 0.0000, 0.0000]]
}

***

{
  "formula": "PaTa4Ge2",
  "functional": "PBE",
  "state": "optimized geometry",
  "formation_energy_ev_per_fu": -1.68,
  "cell": [[4.4289, 0.0000, 0.0000], [0.0000, 3.5324, -0.7783], [0.0000, 0.0372, 8.5736]],
  "species": ["Ge", "Ge", "Ta", "Ta", "Ta", "Ta", "Pa"],
  "fractional_positions": [[0.5000, 0.4274, 0.8548], [0.5000, 0.5726, 0.1452], [0.5000, 0.1845, 0.3690], [0.0000, 0.6756, 0.3513], [0.0000, 0.3244, 0.6487], [0.5000, 0.8155, 0.6310], [0.0000, 0.0000, 0.0000]]
}

***

{
  "formula": "MnOsPt",
  "functional": "PBE",
  "state": "optimized geometry",
  "formation_energy_ev_per_fu": -0.04,
  "e_above_lowest_polymorph_mev_per_atom": 0,
  "cell": [[-3.7288, 1.2151, 4.5173], [-3.7499, -1.4773, 4.4206], [1.6111, -0.0901, 2.1575]],
  "species": ["Pt", "Mn", "Os"],
  "fractional_positions": [[0.6611, 0.6611, 0.3389], [0.9922, 0.9922, 0.0078], [0.3467, 0.3467, 0.6533]]
}

***

{
  "formula": "Tl3Hg5Au",
  "functional": "PBE",
  "state": "optimized geometry",
  "formation_energy_ev_per_fu": -0.07,
  "e_above_lowest_polymorph_mev_per_atom": 0,
  "cell": [[4.4205, 0.0000, 0.0000], [0.0000, 8.0549, 0.0000], [0.0000, -4.0275, 6.9758]],
  "species": ["Tl", "Tl", "Tl", "Hg", "Hg", "Hg", "Hg", "Hg", "Au"],
  "fractional_positions": [[0.0000, 0.3912, 0.0000], [0.0000, 0.0000, 0.3912], [0.0000, 0.6088, 0.6088], [0.5000, 0.3333, 0.6667], [0.5000, 0.6667, 0.3333], [0.5000, 0.2500, 0.2500], [0.5000, 0.7500, 0.0000], [0.5000, 0.0000, 0.7500], [0.0000, 0.0000, 0.0000]]
}

***

{
  "formula": "SnOs2S",
  "functional": "PBE",
  "state": "optimized geometry",
  "formation_energy_uncorrected_ev_per_atom": 0.804,
  "e_above_lowest_polymorph_mev_per_atom": 119,
  "cell": [[0.0000, 3.1611, 3.1611], [3.1611, 0.0000, 3.1611], [3.1611, 3.1611, 0.0000]],
  "species": ["Sn", "Os", "Os", "S"],
  "fractional_positions": [[0.5000, 0.5000, 0.5000], [0.2500, 0.2500, 0.2500], [0.7500, 0.7500, 0.7500], [0.0000, 0.0000, 0.0000]]
}

***

no.,final energy (eV per cell)
1,-38.44
2,-23.77
3,-79.35
4,-18.90
5,-42.00
6,-48.63
7,-22.02
8,-61.43
9,-59.19
10,-25.16
11,-25.11
12,-87.38
13,-72.84
14,-67.83
15,-26.48
16,-11.96
17,-27.37